This record from Alexandria via LeMat-Bulk describes a relaxed PmDyIrPb crystal. The functional is PBE.

```
4
Lattice="3.534 0.000 0.000 0.000 3.534 0.000 0.000 0.000 8.108" Properties=species:S:1:pos:R:3 pbc="T T T"
Pm 0.000 0.000 0.000
Dy 0.000 0.000 4.781
Ir 1.767 1.767 6.352
Pb 1.767 1.767 2.453
```

Values from the calculation:
**DOS(E_F)**: 2.09 states/eV/f.u.
**E_tot**: -24.48 eV/f.u.
**Symmetry**: No. 99
**Energy relative to the lowest polymorph listed for this composition**: 0.00 eV/f.u.
**E_form**: -0.639 eV/atom